Ho3ScAg | PBE | relaxed

Properties
The symmetry is No. 12. The crystal system is monoclinic. Its total DFT energy (no corrections) is -4.5773 eV per atom. For the formation enthalpy at 0 K, the calculation gives 0.03 eV per formula unit.

Cell lengths 6.5287, 6.5287, 7.6531 Å; angles 108.35, 108.35, 67.29 degrees
Sites, in units of the cell vectors:
Ho (0.0504, 0.0504, 0.2348)
Ho (0.0888, 0.5821, 0.3527)
Ho (0.4179, 0.9112, 0.6473)
Ho (0.5821, 0.0888, 0.3527)
Ho (0.9112, 0.4179, 0.6473)
Ho (0.9496, 0.9496, 0.7652)
Sc (0.4408, 0.4408, 0.7591)
Sc (0.5592, 0.5592, 0.2409)
Ag (0.2643, 0.2643, 0.9983)
Ag (0.7356, 0.7356, 0.0017)


Be8AgAs6 | PBE | relaxed

Properties
The symmetry is No. 185. The crystal system is hexagonal. Its total DFT energy (no corrections) is -4.0056 eV per atom. For the formation enthalpy at 0 K, the calculation gives 0.47 eV per formula unit.

Cell lengths 6.5311, 6.5311, 12.6799 Å; angles 90.00, 90.00, 120.00 degrees
Sites, in units of the cell vectors:
Be (0.0000, 0.3322, 0.0000)
Be (0.0000, 0.3331, 0.3438)
Be (0.0000, 0.6669, 0.8438)
Be (0.0000, 0.6678, 0.5000)
Be (0.3322, 0.0000, 0.0000)
Be (0.3322, 0.3322, 0.5000)
Be (0.3331, 0.0000, 0.3438)
Be (0.3331, 0.3331, 0.8438)
Be (0.3333, 0.6667, 0.1000)
Be (0.3333, 0.6667, 0.6000)
Be (0.6669, 0.0000, 0.8438)
Be (0.6667, 0.3333, 0.1000)
Be (0.6667, 0.3333, 0.6000)
Be (0.6669, 0.6669, 0.3438)
Be (0.6678, 0.0000, 0.5000)
Be (0.6678, 0.6678, 0.0000)
Ag (0.0000, 0.0000, 0.2342)
Ag (0.0000, 0.0000, 0.7342)
As (0.0000, 0.0000, 0.4427)
As (0.0000, 0.0000, 0.9427)
As (0.0000, 0.3815, 0.1704)
As (0.0000, 0.6185, 0.6704)
As (0.3333, 0.6667, 0.4150)
As (0.3333, 0.6667, 0.9150)
As (0.3815, 0.0000, 0.1704)
As (0.3815, 0.3815, 0.6704)
As (0.6185, 0.0000, 0.6704)
As (0.6185, 0.6185, 0.1704)
As (0.6667, 0.3333, 0.4150)
As (0.6667, 0.3333, 0.9150)


ZrGa2Br4F2 | PBE | relaxed

Properties
The symmetry is No. 12. The crystal system is monoclinic. Its total DFT energy (no corrections) is -4.3798 eV per atom. As for the uncorrected formation energy: -1.5981 eV/atom.

Cell lengths 7.6937, 7.6937, 5.8273 Å; angles 97.09, 97.09, 62.14 degrees
Sites, in units of the cell vectors:
Zr (0.0000, 0.0000, 0.0000)
Ga (0.2274, 0.2274, 0.6104)
Ga (0.7726, 0.7726, 0.3896)
Br (0.1303, 0.6575, 0.1863)
Br (0.3425, 0.8697, 0.8137)
Br (0.6575, 0.1303, 0.1863)
Br (0.8697, 0.3425, 0.8137)
F (0.1068, 0.1068, 0.2887)
F (0.8932, 0.8932, 0.7113)


La3Sm4HoTe8 | PBE | relaxed

Properties
The symmetry is No. 166. The crystal system is trigonal. Its total DFT energy (no corrections) is -5.4001 eV per atom. As for the uncorrected formation energy: -1.4394 eV/atom.

Cell lengths 8.9526, 8.9526, 8.9526 Å; angles 60.27, 60.27, 60.27 degrees
Sites, in units of the cell vectors:
La (0.0000, 0.5000, 0.5000)
La (0.5000, 0.0000, 0.5000)
La (0.5000, 0.5000, 0.0000)
Sm (0.0000, 0.0000, 0.5000)
Sm (0.0000, 0.5000, 0.0000)
Sm (0.5000, 0.0000, 0.0000)
Sm (0.5000, 0.5000, 0.5000)
Ho (0.0000, 0.0000, 0.0000)
Te (0.2405, 0.7534, 0.7534)
Te (0.2469, 0.2469, 0.2469)
Te (0.2466, 0.2466, 0.7595)
Te (0.2466, 0.7595, 0.2466)
Te (0.7534, 0.2405, 0.7534)
Te (0.7534, 0.7534, 0.2405)
Te (0.7531, 0.7531, 0.7531)
Te (0.7595, 0.2466, 0.2466)


The highest total DFT energy (no corrections) belongs to which entry? Be8AgAs6